Record 1
Material: Sr3Ac3PmTe8
Method: DFT, GGA-PBE
State: relaxed

Properties
For the density of states at the Fermi level, the calculation gives 5.46 states/eV/f.u. For the formation energy (no corrections), the calculation gives -1.59 eV/atom.

Structure (CIF):
```
data_Sr3Ac3PmTe8
_cell_length_a 9.3905
_cell_length_b 9.3905
_cell_length_c 23.2657
_cell_angle_alpha 90.00
_cell_angle_beta 90.00
_cell_angle_gamma 120.00
_space_group_name_H-M_alt 'R -3 m'
_space_group_IT_number 166
_space_group_name_Hall '-R 3 2"'
loop_
_atom_site_label
_atom_site_fract_x
_atom_site_fract_y
_atom_site_fract_z
Sr1 0.0000 0.5000 0.0000
Ac1 0.0000 0.5000 0.5000
Pm1 0.0000 0.0000 0.5000
Te1 0.0000 0.0000 0.2513
Te2 0.0110 0.5055 0.2473
```

Record 2
Material: SrAc2Pm3Te6
Method: DFT, GGA-PBE
State: relaxed

Properties
For the density of states at the Fermi level, the calculation gives 5.77 states/eV/f.u. For the formation energy (no corrections), the calculation gives -1.48 eV/atom.

Structure (CIF):
```
data_SrAc2Pm3Te6
_cell_length_a 20.059
_cell_length_b 4.562
_cell_length_c 9.262
_cell_angle_alpha 90.00
_cell_angle_beta 103.60
_cell_angle_gamma 90.00
_space_group_name_H-M_alt 'C 1 2/m 1'
_space_group_IT_number 12
loop_
_space_group_symop_operation_xyz
'x,y,z'
'-x,-y,-z'
'-x,y,-z'
'x,-y,z'
'x+1/2,y+1/2,z'
'-x+1/2,-y+1/2,-z'
'-x+1/2,y+1/2,-z'
'x+1/2,-y+1/2,z'
loop_
_atom_site_label
_atom_site_fract_x
_atom_site_fract_y
_atom_site_fract_z
Sr1 0.000 0.000 0.000
Ac1 0.169 0.500 0.336
Pm1 0.000 0.000 0.500
Pm2 0.168 0.500 0.829
Te1 0.003 0.500 0.745
Te2 0.161 0.000 0.591
Te3 0.168 0.000 0.071
```

Record 3
Material: SrAc3Pm2Te6
Method: DFT, GGA-PBE
State: relaxed

Properties
For the density of states at the Fermi level, the calculation gives 6.08 states/eV/f.u. For the formation energy (no corrections), the calculation gives -1.49 eV/atom.

Structure (CIF):
```
data_SrAc3Pm2Te6
_cell_length_a 20.239
_cell_length_b 4.620
_cell_length_c 9.329
_cell_angle_alpha 90.00
_cell_angle_beta 103.60
_cell_angle_gamma 90.00
_space_group_name_H-M_alt 'C 1 2/m 1'
_space_group_IT_number 12
loop_
_space_group_symop_operation_xyz
'x,y,z'
'-x,-y,-z'
'-x,y,-z'
'x,-y,z'
'x+1/2,y+1/2,z'
'-x+1/2,-y+1/2,-z'
'-x+1/2,y+1/2,-z'
'x+1/2,-y+1/2,z'
loop_
_atom_site_label
_atom_site_fract_x
_atom_site_fract_y
_atom_site_fract_z
Sr1 0.000 0.000 0.000
Ac1 0.000 0.000 0.500
Ac2 0.165 0.500 0.828
Pm1 0.171 0.500 0.343
Te1 0.006 0.500 0.248
Te2 0.166 0.000 0.094
Te3 0.169 0.000 0.574
```

Record 4
Material: Sr3Ac2PmTe6
Method: DFT, GGA-PBE
State: relaxed

Properties
For the density of states at the Fermi level, the calculation gives 5.22 states/eV/f.u. For the formation energy (no corrections), the calculation gives -1.57 eV/atom.

Structure (CIF):
```
data_Sr3Ac2PmTe6
_cell_length_a 20.544
_cell_length_b 4.655
_cell_length_c 9.438
_cell_angle_alpha 90.00
_cell_angle_beta 104.58
_cell_angle_gamma 90.00
_space_group_name_H-M_alt 'C 1 2/m 1'
_space_group_IT_number 12
loop_
_space_group_symop_operation_xyz
'x,y,z'
'-x,-y,-z'
'-x,y,-z'
'x,-y,z'
'x+1/2,y+1/2,z'
'-x+1/2,-y+1/2,-z'
'-x+1/2,y+1/2,-z'
'x+1/2,-y+1/2,z'
loop_
_atom_site_label
_atom_site_fract_x
_atom_site_fract_y
_atom_site_fract_z
Sr1 0.000 0.000 0.000
Sr2 0.168 0.500 0.334
Ac1 0.163 0.500 0.827
Pm1 0.000 0.000 0.500
Te1 0.003 0.500 0.260
Te2 0.163 0.000 0.576
Te3 0.167 0.000 0.084
```

Record 5
Material: SrAcPmTl
Method: DFT, GGA-PBE
State: relaxed

Properties
For the density of states at the Fermi level, the calculation gives 6.34 states/eV/f.u. The formation energy comes out at 0.078 eV/atom.

Structure (CIF):
```
data_SrAcPmTl
_cell_length_a 8.368
_cell_length_b 8.368
_cell_length_c 8.368
_cell_angle_alpha 90.00
_cell_angle_beta 90.00
_cell_angle_gamma 90.00
_space_group_name_H-M_alt 'F -4 3 m'
_space_group_IT_number 216
_space_group_name_Hall 'F -4 2 3'
loop_
_atom_site_label
_atom_site_fract_x
_atom_site_fract_y
_atom_site_fract_z
Sr1 0.000 0.000 0.000
Ac1 0.250 0.250 0.750
Pm1 0.000 0.000 0.500
Tl1 0.250 0.250 0.250
```

Record 6
Material: Ac2PmTa
Method: DFT, GGA-PBE
State: relaxed

Properties
For the density of states at the Fermi level, the calculation gives 6.97 states/eV/f.u. The formation energy comes out at 0.887 eV/atom.

Structure (CIF):
```
data_Ac2PmTa
_cell_length_a 3.4956
_cell_length_b 3.4956
_cell_length_c 37.8003
_cell_angle_alpha 90.00
_cell_angle_beta 90.00
_cell_angle_gamma 120.00
_space_group_name_H-M_alt 'R -3 m'
_space_group_IT_number 166
_space_group_name_Hall '-R 3 2"'
loop_
_atom_site_label
_atom_site_fract_x
_atom_site_fract_y
_atom_site_fract_z
Ac1 0.0000 0.0000 0.0802
Pm1 0.0000 0.0000 0.5000
Ta1 0.0000 0.0000 0.0000
```